Material: BiWNO2
Method: DFT, GGA+U
State: relaxed

Unit cell a=4.1776 b=4.1776 c=4.4161 alpha=90.00 beta=90.00 gamma=90.00
Last column: nearest neighbours and their distance in Å.
Space group P4/mmm (No. 123)
One atom of each set of equivalent atoms:
1 Bi 0.0000 0.0000 0.0000 x1  4 O 2.09, 2 N 2.21
2 W 0.5000 0.5000 0.5000 x1  4 N 2.95, 8 O 3.04
3 N 0.0000 0.0000 0.5000 x1  2 Bi 2.21
4 O 0.0000 0.5000 0.0000 x2  2 Bi 2.09

Output
E   -26.17 eV for the cell shown
Total moment   3.7 Bohr magnetons per cell